Compound: LiGe3Ir
Source: Alexandria
Functional: meta-GGA SCAN
Structure: single point on PBEsol structure

Calculated values
For the formation energy from the elements, the calculation gives 1.52 eV per formula unit. The crystal system is cubic. The space group is No. 221. As for the relative energy among the computed polymorphs: 0.000 eV per atom. As for the volume: 22.22 A^3/atom.

Geometry as POSCAR:
```
LiGe3Ir
1.0
4.807 0.000 0.000
0.000 4.807 0.000
0.000 0.000 4.807
Li Ge Ir
1 3 1
Direct
0.000 0.000 0.000
0.000 0.500 0.500
0.500 0.000 0.500
0.500 0.500 0.000
0.500 0.500 0.500
```


Compound: LiTaF6
Source: Alexandria
Functional: meta-GGA SCAN
Structure: single point on PBEsol structure

Calculated values
As for the total DFT energy (no corrections): -14.659 eV/atom. The crystal system is cubic. The space group is No. 225. As for the volume: 15.02 A^3/atom.

Geometry as POSCAR:
```
LiTaF6
1.0
0.000 3.917 3.917
3.917 0.000 3.917
3.917 3.917 0.000
Li Ta F
1 1 6
Direct
0.000 0.000 0.000
0.500 0.500 0.500
0.256 0.256 0.744
0.256 0.744 0.256
0.256 0.744 0.744
0.744 0.256 0.256
0.744 0.256 0.744
0.744 0.744 0.256
```


Compound: LiMgIn
Source: Alexandria
Functional: meta-GGA SCAN
Structure: single point on PBEsol structure

Calculated values
For the formation energy from the elements, the calculation gives -0.60 eV per formula unit. The crystal system is tetragonal. The space group is No. 107. As for the relative energy among the computed polymorphs: 0.061 eV per atom. As for the volume: 20.68 A^3/atom.

Geometry as POSCAR:
```
LiMgIn
1.0
-1.553 1.553 6.431
1.553 -1.553 6.431
1.553 1.553 -6.431
Li Mg In
1 1 1
Direct
0.000 0.000 0.000
0.671 0.671 0.000
0.347 0.347 0.000
```